Record 1
Material: Rh2W2Se
Method: DFT, SCAN
State: PBEsol geometry

Summary:
Energy (eV per cell): -224.4
Formation energy (no corrections) (eV per atom): 0.520
Density (g/cm³): 13.2

Structure (extended XYZ):
```
5
Lattice="-0.229 -2.018 -2.889 -1.826 -2.408 1.827 -4.574 5.210 -1.118" Properties=species:S:1:pos:R:3 pbc="T T T"
Se 0.000 0.000 0.000
W -2.235 -1.567 -0.886
W -4.395 2.351 -1.293
Rh -3.714 0.294 0.089
Rh -2.916 0.489 -2.269
```


Record 2
Material: La2YSe
Method: DFT, SCAN
State: PBEsol geometry

Summary:
Energy (eV per cell): -136.4
Formation energy (no corrections) (eV per atom): -0.574
Density (g/cm³): 7.2

Structure (extended XYZ):
```
4
Lattice="4.736 0.000 0.000 0.000 4.653 0.000 0.000 0.000 4.653" Properties=species:S:1:pos:R:3 pbc="T T T"
Y 2.368 0.000 0.000
La 0.000 0.000 2.327
Se 2.368 2.327 2.327
La 0.000 2.327 0.000
```


Record 3
Material: Dy2TeO6
Method: DFT, SCAN
State: PBEsol geometry

Summary:
Energy (eV per cell): -389.9
ΔE to the lowest computed polymorph (meV per atom): 79
Formation energy (no corrections) (eV per atom): -2.746
Density (g/cm³): 7.5

Structure (extended XYZ):
```
18
Lattice="4.939 0.000 0.000 0.000 4.939 0.000 0.000 0.000 10.000" Properties=species:S:1:pos:R:3 pbc="T T T"
O 0.906 4.033 3.540
O 3.376 3.376 1.460
O 3.563 3.563 5.000
Dy 0.000 0.000 1.655
Dy 2.470 2.470 3.345
O 3.376 3.376 8.540
O 4.033 0.906 6.460
Dy 2.470 2.470 6.655
Dy 0.000 0.000 8.345
O 1.094 3.845 0.000
O 3.845 1.094 0.000
O 1.563 1.563 8.540
O 0.906 4.033 6.460
Te 2.470 2.470 0.000
Te 0.000 0.000 5.000
O 1.563 1.563 1.460
O 4.033 0.906 3.540
O 1.376 1.376 5.000
```


Record 4
Material: HfTiMn2Se
Method: DFT, SCAN
State: PBEsol geometry

Summary:
Energy (eV per cell): -129.5
Formation energy (no corrections) (eV per atom): 1.166
Density (g/cm³): 6.6

Structure (extended XYZ):
```
5
Lattice="-3.970 -0.870 -2.095 2.180 -2.630 -3.039 -0.680 -3.949 2.928" Properties=species:S:1:pos:R:3 pbc="T T T"
Se -1.235 -3.724 -1.103
Hf 0.000 0.000 0.000
Mn 1.090 -1.315 -1.520
Mn -1.985 -0.435 -1.048
Ti -0.340 -1.974 1.464
```


Record 5
Material: AgPbSe2
Method: DFT, SCAN
State: PBEsol geometry

Summary:
Energy (eV per cell): -148.4
Formation energy (no corrections) (eV per atom): -0.264
Density (g/cm³): 8.5

Structure (extended XYZ):
```
4
Lattice="4.080 0.000 0.000 2.040 3.534 0.000 2.040 1.178 6.432" Properties=species:S:1:pos:R:3 pbc="T T T"
Pb 4.080 2.356 3.216
Se 6.121 3.534 5.015
Se 2.040 1.178 1.417
Ag 0.000 0.000 0.000
```


Record 6
Material: ZnC3
Method: DFT, SCAN
State: PBEsol geometry

Summary:
Energy (eV per cell): -60.8
ΔE to the lowest computed polymorph (meV per atom): 1199
Density (g/cm³): 4.8

Structure (extended XYZ):
```
8
Lattice="4.121 0.000 0.000 0.000 4.121 0.000 0.000 0.000 4.121" Properties=species:S:1:pos:R:3 pbc="T T T"
Zn 2.060 2.060 2.060
C 2.060 0.000 3.091
C 2.060 0.000 1.030
C 3.091 2.060 0.000
C 0.000 1.030 2.060
C 1.030 2.060 0.000
C 0.000 3.091 2.060
Zn 0.000 0.000 0.000
```